DFT (PBE) results for a geometry-optimized LaHo3P4 structure.

```
16
Lattice="8.126 0.000 0.000 0.000 11.482 0.000 0.000 0.000 4.063" Properties=species:S:1:pos:R:3 pbc="T T T"
La 0.000 0.000 0.000
La 4.063 5.741 0.000
Ho 0.000 5.741 0.000
Ho 2.032 2.870 2.032
Ho 2.032 8.611 2.032
Ho 4.063 0.000 0.000
Ho 6.095 2.870 2.032
Ho 6.095 8.611 2.032
P 0.000 2.927 0.000
P 0.000 8.555 0.000
P 1.949 5.741 2.032
P 2.115 0.000 2.032
P 4.063 2.814 0.000
P 4.063 8.668 0.000
P 6.012 0.000 2.032
P 6.178 5.741 2.032
```

Output
final energy	-105.9	eV for the cell shown
symmetry	Cmmm, No. 65
energy relative to the elements	-1582.4	meV per atom